No. 1
A relaxed structure of PuIn6O12. Source: the Alexandria database, functional GGA-PBE.

Cell lengths 6.415, 6.415, 6.415 Å; angles 99.22, 99.22, 99.22 degrees
Element x y z (fractional)
Pu 0.000 0.000 0.000
In 0.142 0.606 0.330
In 0.330 0.142 0.606
In 0.394 0.670 0.858
In 0.606 0.330 0.142
In 0.670 0.858 0.394
In 0.858 0.394 0.670
O 0.050 0.692 0.892
O 0.108 0.950 0.308
O 0.177 0.412 0.591
O 0.308 0.108 0.950
O 0.409 0.823 0.588
O 0.412 0.591 0.177
O 0.588 0.409 0.823
O 0.591 0.177 0.412
O 0.692 0.892 0.050
O 0.823 0.588 0.409
O 0.892 0.050 0.692
O 0.950 0.308 0.108

Values from the calculation:
Formation energy (no corrections) ... -167.1 kJ/mol of atoms
Total magnetic moment ... 2.00 μB/f.u.
Energy ... -6.48 eV per atom


No. 2
A relaxed structure of Zr2Ga8Ni. Source: the Alexandria database, functional GGA-PBE.

Cell lengths 4.187, 4.187, 10.657 Å; angles 90.00, 90.00, 90.00 degrees
Element x y z (fractional)
Zr 0.000 0.000 0.188
Zr 0.000 0.000 0.812
Ga 0.000 0.500 0.000
Ga 0.000 0.500 0.377
Ga 0.000 0.500 0.623
Ga 0.500 0.000 0.000
Ga 0.500 0.000 0.377
Ga 0.500 0.000 0.623
Ga 0.500 0.500 0.193
Ga 0.500 0.500 0.807
Ni 0.000 0.000 0.500

Values from the calculation:
Total magnetic moment ... 0.00 μB/f.u.
Formation energy from the elements ... -0.423 eV/atom
Energy ... -4.70 eV per atom


No. 3
A relaxed structure of Be9Nb2Mo. Source: the Alexandria database, functional GGA-PBE.

Cell lengths 4.508, 4.508, 14.050 Å; angles 90.00, 90.00, 120.00 degrees
Element x y z (fractional)
Be 0.000 0.000 0.000
Be 0.000 0.000 0.250
Be 0.000 0.000 0.500
Be 0.000 0.000 0.750
Be 0.168 0.337 0.130
Be 0.168 0.337 0.370
Be 0.168 0.832 0.130
Be 0.168 0.832 0.370
Be 0.333 0.667 0.250
Be 0.337 0.168 0.630
Be 0.337 0.168 0.870
Be 0.663 0.832 0.130
Be 0.663 0.832 0.370
Be 0.667 0.333 0.750
Be 0.832 0.168 0.630
Be 0.832 0.168 0.870
Be 0.832 0.663 0.630
Be 0.832 0.663 0.870
Nb 0.333 0.667 0.539
Nb 0.333 0.667 0.961
Nb 0.667 0.333 0.039
Nb 0.667 0.333 0.461
Mo 0.333 0.667 0.750
Mo 0.667 0.333 0.250

Values from the calculation:
Distance to the lowest polymorph of the same formula ... 0.009 eV/atom
Total magnetic moment ... 0.00 μB/f.u.
Formation energy from the elements ... -0.216 eV/atom
Energy ... -5.59 eV per atom


No. 4
A relaxed structure of MgMn2P. Source: the Alexandria database, functional GGA-PBE.

Cell lengths 8.822, 8.822, 8.822 Å; angles 155.63, 155.63, 34.74 degrees
Element x y z (fractional)
Mg 0.000 0.000 0.000
Mg 0.750 0.250 0.500
Mn 0.236 0.625 0.111
Mn 0.375 0.486 0.611
Mn 0.514 0.125 0.889
Mn 0.875 0.764 0.389
P 0.250 0.750 0.500
P 0.500 0.500 0.000

Values from the calculation:
Total magnetic moment ... 0.00 μB/f.u.
Formation energy from the elements ... 0.242 eV/atom
Energy ... -6.09 eV per atom


No. 5
A relaxed structure of K2SmCrS4. Source: the Alexandria database, functional GGA-PBE.

Cell lengths 6.726, 3.925, 7.673 Å; angles 90.00, 107.39, 90.00 degrees
Element x y z (fractional)
K 0.000 0.000 0.000
K 0.500 0.500 0.000
Sm 0.000 0.500 0.500
Cr 0.500 0.000 0.500
S 0.262 0.000 0.699
S 0.301 0.500 0.316
S 0.699 0.500 0.684
S 0.738 0.000 0.301

Values from the calculation:
Formation energy (no corrections) ... -127.0 kJ/mol of atoms
Total magnetic moment ... 3.00 μB/f.u.
Energy ... -5.45 eV per atom


No. 6
A relaxed structure of Ac2Zn4Pd3Au. Source: the Alexandria database, functional GGA-PBE.

Cell lengths 4.534, 4.534, 10.279 Å; angles 90.00, 90.00, 90.00 degrees
Element x y z (fractional)
Ac 0.000 0.500 0.247
Ac 0.500 0.000 0.753
Zn 0.000 0.000 0.500
Zn 0.000 0.500 0.872
Zn 0.500 0.000 0.128
Zn 0.500 0.500 0.500
Pd 0.000 0.000 0.000
Pd 0.000 0.500 0.624
Pd 0.500 0.000 0.376
Au 0.500 0.500 0.000

Values from the calculation:
Total magnetic moment ... 0.00 μB/f.u.
Formation energy from the elements ... -0.622 eV/atom
Energy ... -3.84 eV per atom


No. 7
A relaxed structure of LaCuRe2. Source: the Alexandria database, functional GGA-PBE.

Cell lengths 9.568, 9.568, 9.568 Å; angles 152.66, 152.66, 39.05 degrees
Element x y z (fractional)
La 0.000 0.000 0.000
La 0.750 0.250 0.500
Cu 0.250 0.750 0.500
Cu 0.500 0.500 0.000
Re 0.295 0.125 0.670
Re 0.375 0.705 0.830
Re 0.455 0.625 0.330
Re 0.875 0.545 0.170

Values from the calculation:
Distance to the lowest polymorph of the same formula ... 0.668 eV/atom
Total magnetic moment ... 0.00 μB/f.u.
Formation energy from the elements ... 0.789 eV/atom
Energy ... -7.69 eV per atom


No. 8
A relaxed structure of Na4LiHg2. Source: the Alexandria database, functional GGA-PBE.

Cell lengths 10.024, 10.024, 10.024 Å; angles 29.78, 29.78, 29.78 degrees
Element x y z (fractional)
Na 0.118 0.118 0.118
Na 0.295 0.295 0.295
Na 0.705 0.705 0.705
Na 0.882 0.882 0.882
Li 0.500 0.500 0.500
Hg 0.406 0.406 0.406
Hg 0.594 0.594 0.594

Values from the calculation:
Distance to the lowest polymorph of the same formula ... 0.060 eV/atom
Total magnetic moment ... 0.00 μB/f.u.
Formation energy from the elements ... -0.088 eV/atom
Energy ... -1.20 eV per atom


No. 9
A relaxed structure of TeAu3. Source: the Alexandria database, functional GGA-PBE.

Cell lengths 3.913, 4.072, 5.414 Å; angles 90.00, 90.00, 90.00 degrees
Element x y z (fractional)
Te 0.000 0.000 0.000
Au 0.000 0.500 0.597
Au 0.500 0.000 0.567
Au 0.500 0.500 0.186

Values from the calculation:
Formation energy (no corrections) ... 14.5 kJ/mol of atoms
Total magnetic moment ... 0.00 μB/f.u.
Energy ... -3.09 eV per atom


No. 10
A relaxed structure of BiSbS. Source: the Alexandria database, functional GGA-PBE.

Cell lengths 4.988, 4.988, 3.544 Å; angles 90.00, 90.00, 120.00 degrees
Element x y z (fractional)
Bi 0.000 0.000 0.000
Sb 0.667 0.333 0.534
S 0.333 0.667 0.726

Values from the calculation:
Formation energy (no corrections) ... 20.4 kJ/mol of atoms
Distance to the lowest polymorph of the same formula ... 0.173 eV/atom
Total magnetic moment ... 0.00 μB/f.u.
Energy ... -3.83 eV per atom


No. 11
A relaxed structure of Tl2CrCl. Source: the Alexandria database, functional GGA-PBE.

Cell lengths 6.318, 6.318, 6.318 Å; angles 149.59, 125.96, 63.28 degrees
Element x y z (fractional)
Tl 0.000 0.000 0.000
Tl 0.707 0.207 0.500
Cr 0.470 0.470 0.000
Cl 0.302 0.802 0.500

Values from the calculation:
Formation energy (no corrections) ... -0.6 kJ/mol of atoms
Distance to the lowest polymorph of the same formula ... 0.074 eV/atom
Total magnetic moment ... 4.15 μB/f.u.
Energy ... -4.06 eV per atom


No. 12
A relaxed structure of La4Tb2Sm2Tm. Source: the Alexandria database, functional GGA-PBE.

Cell lengths 8.180, 8.180, 8.139 Å; angles 107.76, 107.76, 36.88 degrees
Element x y z (fractional)
La 0.054 0.054 0.331
La 0.277 0.277 0.668
La 0.723 0.723 0.332
La 0.946 0.946 0.669
Tb 0.388 0.388 0.329
Tb 0.612 0.612 0.671
Sm 0.166 0.166 0.000
Sm 0.834 0.834 0.000
Tm 0.500 0.500 0.000

Values from the calculation:
Total magnetic moment ... 0.00 μB/f.u.
Formation energy from the elements ... 0.026 eV/atom
Energy ... -4.74 eV per atom


No. 13
A relaxed structure of TaMoC2. Source: the Alexandria database, functional GGA-PBE.

Cell lengths 6.974, 6.974, 6.974 Å; angles 27.57, 27.57, 27.57 degrees
Element x y z (fractional)
Ta 0.000 0.000 0.000
Mo 0.797 0.797 0.797
C 0.300 0.300 0.300
C 0.483 0.483 0.483

Values from the calculation:
Distance to the lowest polymorph of the same formula ... 1.085 eV/atom
Total magnetic moment ... 0.11 μB/f.u.
Formation energy from the elements ... 0.860 eV/atom
Energy ... -9.42 eV per atom


No. 14
A relaxed structure of CuRu2Cl. Source: the Alexandria database, functional GGA-PBE.

Cell lengths 2.871, 2.852, 7.525 Å; angles 90.00, 90.09, 90.00 degrees
Element x y z (fractional)
Cu 0.000 0.000 0.000
Ru 0.499 0.500 0.762
Ru 0.998 0.000 0.550
Cl 0.997 0.500 0.282

Values from the calculation:
Formation energy (no corrections) ... 23.6 kJ/mol of atoms
Distance to the lowest polymorph of the same formula ... 0.000 eV/atom
Total magnetic moment ... 0.00 μB/f.u.
Energy ... -5.88 eV per atom


No. 15
A relaxed structure of KRbAl2Rh. Source: the Alexandria database, functional GGA-PBE.

Cell lengths 5.843, 5.843, 5.886 Å; angles 90.00, 90.00, 90.00 degrees
Element x y z (fractional)
K 0.000 0.000 0.000
Rb 0.000 0.000 0.500
Al 0.000 0.500 0.500
Al 0.500 0.000 0.500
Rh 0.500 0.500 0.000

Values from the calculation:
Total magnetic moment ... 0.31 μB/f.u.
Formation energy from the elements ... 1.816 eV/atom
Energy ... -1.56 eV per atom


No. 16
A relaxed structure of CaSi2H. Source: the Alexandria database, functional GGA-PBE.

Cell lengths 5.892, 5.892, 6.240 Å; angles 101.24, 101.24, 38.50 degrees
Element x y z (fractional)
Ca 0.000 0.000 0.000
Ca 0.639 0.639 0.563
Si 0.278 0.278 0.934
Si 0.379 0.379 0.629
Si 0.725 0.725 0.119
Si 0.901 0.901 0.420
H 0.131 0.131 0.755
H 0.417 0.417 0.107

Values from the calculation:
Distance to the lowest polymorph of the same formula ... 0.003 eV/atom
Total magnetic moment ... 0.00 μB/f.u.
Energy ... -4.33 eV per atom


No. 17
A relaxed structure of Sc3Sb. Source: the Alexandria database, functional GGA-PBE.

Cell lengths 4.495, 4.495, 4.495 Å; angles 90.00, 90.00, 90.00 degrees
Element x y z (fractional)
Sc 0.000 0.000 0.500
Sc 0.000 0.500 0.000
Sc 0.500 0.000 0.000
Sb 0.500 0.500 0.500

Values from the calculation:
Formation energy (no corrections) ... -46.6 kJ/mol of atoms
Distance to the lowest polymorph of the same formula ... 0.066 eV/atom
Total magnetic moment ... 2.05 μB/f.u.
Energy ... -6.26 eV per atom


No. 18
A relaxed structure of PbAu3. Source: the Alexandria database, functional GGA-PBE.

Cell lengths 4.574, 4.574, 4.060 Å; angles 90.00, 90.00, 96.92 degrees
Element x y z (fractional)
Pb 0.000 0.000 0.000
Au 0.000 0.500 0.500
Au 0.500 0.000 0.500
Au 0.500 0.500 0.000

Values from the calculation:
Total magnetic moment ... 0.00 μB/f.u.
Formation energy from the elements ... 0.057 eV/atom
Energy ... -3.33 eV per atom


No. 19
A relaxed structure of UPaMnCu. Source: the Alexandria database, functional GGA-PBE.

Cell lengths 4.586, 4.586, 4.586 Å; angles 60.00, 60.00, 60.00 degrees
Element x y z (fractional)
U 0.000 0.000 0.000
Pa 0.250 0.250 0.250
Mn 0.500 0.500 0.500
Cu 0.750 0.750 0.750

Values from the calculation:
Total magnetic moment ... 1.02 μB/f.u.
Formation energy from the elements ... 0.042 eV/atom
Energy ... -8.47 eV per atom


No. 20
A relaxed structure of RbV2W. Source: the Alexandria database, functional GGA-PBE.

Cell lengths 4.746, 4.746, 4.746 Å; angles 60.00, 60.00, 60.00 degrees
Element x y z (fractional)
Rb 0.000 0.000 0.000
V 0.250 0.250 0.250
V 0.750 0.750 0.750
W 0.500 0.500 0.500

Values from the calculation:
Distance to the lowest polymorph of the same formula ... 0.000 eV/atom
Total magnetic moment ... 3.13 μB/f.u.
Formation energy from the elements ... 1.747 eV/atom
Energy ... -6.29 eV per atom


No. 21
A relaxed structure of Tb3Er2Cd2. Source: the Alexandria database, functional GGA-PBE.

Cell lengths 8.510, 8.510, 8.510 Å; angles 36.75, 36.75, 36.75 degrees
Element x y z (fractional)
Tb 0.000 0.000 0.000
Tb 0.157 0.157 0.157
Tb 0.843 0.843 0.843
Er 0.426 0.426 0.426
Er 0.574 0.574 0.574
Cd 0.289 0.289 0.289
Cd 0.711 0.711 0.711

Values from the calculation:
Distance to the lowest polymorph of the same formula ... 0.000 eV/atom
Total magnetic moment ... 0.00 μB/f.u.
Formation energy from the elements ... -0.154 eV/atom
Energy ... -3.70 eV per atom


No. 22
A relaxed structure of Ta4MnCd. Source: the Alexandria database, functional GGA-PBE.

Cell lengths 5.472, 5.472, 5.472 Å; angles 60.00, 60.00, 60.00 degrees
Element x y z (fractional)
Ta 0.125 0.125 0.125
Ta 0.125 0.125 0.626
Ta 0.125 0.626 0.125
Ta 0.626 0.125 0.125
Mn 0.750 0.750 0.750
Cd 0.500 0.500 0.500

Values from the calculation:
Total magnetic moment ... 2.94 μB/f.u.
Formation energy from the elements ... 0.551 eV/atom
Energy ... -9.03 eV per atom


No. 23
A relaxed structure of Er4AlSbC. Source: the Alexandria database, functional GGA-PBE.

Cell lengths 8.468, 8.468, 6.684 Å; angles 90.00, 90.00, 133.47 degrees
Element x y z (fractional)
Er 0.000 0.500 0.000
Er 0.000 0.500 0.500
Er 0.087 0.913 0.750
Er 0.407 0.593 0.750
Er 0.500 0.000 0.000
Er 0.500 0.000 0.500
Er 0.593 0.407 0.250
Er 0.913 0.087 0.250
Al 0.114 0.886 0.250
Al 0.886 0.114 0.750
Sb 0.392 0.608 0.250
Sb 0.608 0.392 0.750
C 0.250 0.750 0.750
C 0.750 0.250 0.250

Values from the calculation:
Formation energy (no corrections) ... -55.8 kJ/mol of atoms
Total magnetic moment ... 0.00 μB/f.u.
Energy ... -5.63 eV per atom


No. 24
A relaxed structure of ErAl4Cu2Pd. Source: the Alexandria database, functional GGA-PBE.

Cell lengths 9.066, 9.066, 9.066 Å; angles 26.78, 26.78, 26.78 degrees
Element x y z (fractional)
Er 0.000 0.000 0.000
Al 0.128 0.128 0.128
Al 0.402 0.402 0.402
Al 0.598 0.598 0.598
Al 0.872 0.872 0.872
Cu 0.243 0.243 0.243
Cu 0.757 0.757 0.757
Pd 0.500 0.500 0.500

Values from the calculation:
Total magnetic moment ... 0.00 μB/f.u.
Formation energy from the elements ... -0.431 eV/atom
Energy ... -4.55 eV per atom


No. 25
A relaxed structure of AcYHgBi. Source: the Alexandria database, functional GGA-PBE.

Cell lengths 5.620, 5.620, 5.620 Å; angles 60.00, 60.00, 60.00 degrees
Element x y z (fractional)
Ac 0.000 0.000 0.000
Y 0.500 0.500 0.500
Hg 0.750 0.750 0.750
Bi 0.250 0.250 0.250

Values from the calculation:
Total magnetic moment ... 0.00 μB/f.u.
Formation energy from the elements ... -0.520 eV/atom
Energy ... -4.21 eV per atom